{
  "formula": "CdAgHgCl5",
  "functional": "PBE-GGA",
  "state": "optimized geometry",
  "lattice": [[5.1167, -5.2788, 0.0000], [5.1167, 5.2788, 0.0000], [-4.7427, 0.0000, 8.9483]],
  "species": ["Cd", "Cd", "Ag", "Ag", "Hg", "Hg", "Cl", "Cl", "Cl", "Cl", "Cl", "Cl", "Cl", "Cl", "Cl", "Cl"],
  "fractional_positions": [[0.0000, 0.5000, 0.0000], [0.5000, 0.0000, 0.5000], [0.0444, 0.9556, 0.7500], [0.9556, 0.0444, 0.2500], [0.4185, 0.5815, 0.7500], [0.5815, 0.4185, 0.2500], [0.1121, 0.6610, 0.8372], [0.1922, 0.8078, 0.2500], [0.2969, 0.2978, 0.5154], [0.2978, 0.2969, 0.0154], [0.3390, 0.8879, 0.6628], [0.6610, 0.1121, 0.3372], [0.7022, 0.7031, 0.9846], [0.7031, 0.7022, 0.4846], [0.8078, 0.1922, 0.7500], [0.8879, 0.3390, 0.1628]],
  "e_form_raw_kj_per_mol_fu": -545,
  "crystal_system": "monoclinic",
  "magnetic_moment_mub_per_cell": 0.0,
  "space_group": "C2/c (15)"
}

{
  "formula": "Nd4Er9In11",
  "functional": "PBE-GGA",
  "state": "optimized geometry",
  "lattice": [[8.0550, -11.7356, 0.0000], [8.0550, 11.7356, 0.0000], [0.0000, 0.0000, 3.4501]],
  "species": ["Nd", "Nd", "Nd", "Nd", "Er", "Er", "Er", "Er", "Er", "Er", "Er", "Er", "Er", "In", "In", "In", "In", "In", "In", "In", "In", "In", "In", "In"],
  "fractional_positions": [[0.0955, 0.2572, 0.0000], [0.2572, 0.0955, 0.0000], [0.7428, 0.9045, 0.0000], [0.9045, 0.7428, 0.0000], [0.0000, 0.0000, 0.0000], [0.1108, 0.6676, 0.0000], [0.2968, 0.4930, 0.0000], [0.3324, 0.8892, 0.0000], [0.4930, 0.2968, 0.0000], [0.5070, 0.7032, 0.0000], [0.6676, 0.1108, 0.0000], [0.7032, 0.5070, 0.0000], [0.8892, 0.3324, 0.0000], [0.0911, 0.4623, 0.5000], [0.1216, 0.8784, 0.5000], [0.3052, 0.3052, 0.5000], [0.3097, 0.6903, 0.5000], [0.4623, 0.0911, 0.5000], [0.5000, 0.5000, 0.5000], [0.5377, 0.9089, 0.5000], [0.6903, 0.3097, 0.5000], [0.6948, 0.6948, 0.5000], [0.8784, 0.1216, 0.5000], [0.9089, 0.5377, 0.5000]],
  "crystal_system": "orthorhombic",
  "n_ef_per_ev_atom": 0.85,
  "magnetic_moment_mub_per_cell": 0.0,
  "space_group": "Cmmm (65)",
  "energy_ev_per_atom": -4.15
}